Density functional theory data (PBE) for a geometry-optimized CrMo2Br structure.

Cell lengths 5.2557, 5.2557, 5.2557 Å; angles 146.99, 129.12, 61.99 degrees
Fractional coordinates of all 4 atoms:
Cr: 0.2568 0.7568 0.5000
Mo: 0.0218 0.0218 0.0000
Mo: 0.7346 0.2346 0.5000
Br: 0.4868 0.4868 0.0000

Output
The total moment comes out at 0.006 μB per formula unit. As for the formation energy without anion corrections: 0.781 eV per atom.